Record 1
The following is a DFT calculation (PBE) of VIrRh3 after structural relaxation.

Cell: 7.003 8.992 4.694 Å, 90.00 90.00 90.00°
Element x y z (fractional)
V: 0.000 0.000 0.000
V: 0.000 0.500 0.000
V: 0.500 0.000 0.500
V: 0.500 0.500 0.500
Ir: 0.170 0.250 0.383
Ir: 0.330 0.750 0.883
Ir: 0.670 0.250 0.117
Ir: 0.830 0.750 0.617
Rh: 0.021 0.250 0.869
Rh: 0.162 0.571 0.498
Rh: 0.162 0.929 0.498
Rh: 0.338 0.071 0.998
Rh: 0.338 0.429 0.998
Rh: 0.479 0.750 0.369
Rh: 0.521 0.250 0.631
Rh: 0.662 0.571 0.002
Rh: 0.662 0.929 0.002
Rh: 0.838 0.071 0.502
Rh: 0.838 0.429 0.502
Rh: 0.979 0.750 0.131

Values from the calculation:
* symmetry: Pnma (62)
* density of states at the Fermi level: 19.554 states/eV per cell
* energy above the most stable polymorph in this dataset: 148 meV per atom

=====

Record 2
The following is a DFT calculation (PBE) of VIrRh3 after structural relaxation.

Cell: 4.568 7.188 9.224 Å, 90.00 102.11 90.00°
Element x y z (fractional)
V: 0.118 0.183 0.328
V: 0.118 0.317 0.828
V: 0.882 0.683 0.172
V: 0.882 0.817 0.672
Ir: 0.275 0.233 0.090
Ir: 0.275 0.267 0.590
Ir: 0.725 0.733 0.410
Ir: 0.725 0.767 0.910
Rh: 0.229 0.545 0.403
Rh: 0.229 0.955 0.903
Rh: 0.263 0.597 0.014
Rh: 0.263 0.903 0.514
Rh: 0.325 0.599 0.720
Rh: 0.325 0.901 0.220
Rh: 0.675 0.099 0.780
Rh: 0.675 0.401 0.280
Rh: 0.737 0.097 0.486
Rh: 0.737 0.403 0.986
Rh: 0.771 0.045 0.097
Rh: 0.771 0.455 0.597

Values from the calculation:
* symmetry: P2_1/c (14)
* density of states at the Fermi level: 18.588 states/eV per cell
* energy above the most stable polymorph in this dataset: 0 meV per atom

=====

Record 3
The following is a DFT calculation (PBE) of VIr5Rh2 after structural relaxation.

Cell: 7.194 7.194 7.194 Å, 125.24 125.24 81.14°
Element x y z (fractional)
V: 0.250 0.250 0.000
V: 0.750 0.750 0.000
Ir: 0.000 0.000 0.000
Ir: 0.023 0.523 0.206
Ir: 0.184 0.977 0.500
Ir: 0.316 0.816 0.794
Ir: 0.477 0.684 0.500
Ir: 0.500 0.500 0.000
Ir: 0.523 0.316 0.500
Ir: 0.684 0.184 0.206
Ir: 0.816 0.023 0.500
Ir: 0.977 0.477 0.794
Rh: 0.139 0.361 0.500
Rh: 0.361 0.861 0.221
Rh: 0.639 0.139 0.779
Rh: 0.861 0.639 0.500

Values from the calculation:
* DFT total energy: -8.3759 eV per atom
* symmetry: I4/mcm (140)
* density of states at the Fermi level: 22.146 states/eV per cell

=====

Record 4
The following is a DFT calculation (PBE) of V3IrRh after structural relaxation.

Cell: 8.210 8.210 5.230 Å, 91.82 91.82 53.50°
Element x y z (fractional)
V: 0.011 0.128 0.398
V: 0.127 0.571 0.955
V: 0.128 0.011 0.898
V: 0.212 0.485 0.445
V: 0.429 0.873 0.545
V: 0.485 0.212 0.945
V: 0.515 0.788 0.055
V: 0.571 0.127 0.455
V: 0.788 0.515 0.555
V: 0.872 0.989 0.102
V: 0.873 0.429 0.045
V: 0.989 0.872 0.602
Ir: 0.257 0.743 0.250
Ir: 0.388 0.612 0.750
Ir: 0.612 0.388 0.250
Ir: 0.743 0.257 0.750
Rh: 0.183 0.257 0.690
Rh: 0.257 0.183 0.190
Rh: 0.743 0.817 0.810
Rh: 0.817 0.743 0.310

Values from the calculation:
* symmetry: C2/c (15)
* density of states at the Fermi level: 22.511 states/eV per cell
* energy above the most stable polymorph in this dataset: 0 meV per atom

=====

Record 5
The following is a DFT calculation (PBE) of V4Ir5Rh after structural relaxation.

Cell: 5.824 5.824 4.652 Å, 94.00 94.00 86.35°
Element x y z (fractional)
V: 0.172 0.828 0.000
V: 0.272 0.272 0.278
V: 0.728 0.728 0.722
V: 0.828 0.172 0.000
Ir: 0.000 0.000 0.500
Ir: 0.083 0.422 0.744
Ir: 0.422 0.083 0.744
Ir: 0.578 0.917 0.256
Ir: 0.917 0.578 0.256
Rh: 0.500 0.500 0.000

Values from the calculation:
* DFT total energy: -8.8662 eV per atom
* symmetry: C2/m (12)
* density of states at the Fermi level: 12.035 states/eV per cell

=====

Record 6
The following is a DFT calculation (PBE) of V2IrRh after structural relaxation.

Cell: 3.881 3.881 3.674 Å, 90.00 90.00 90.00°
Element x y z (fractional)
V: 0.000 0.500 0.000
V: 0.500 0.000 0.000
Ir: 0.000 0.000 0.500
Rh: 0.500 0.500 0.500

Values from the calculation:
* DFT total energy: -9.0512 eV per atom
* symmetry: P4/mmm (123)
* density of states at the Fermi level: 4.736 states/eV per cell

=====

Record 7
The following is a DFT calculation (PBE) of VIr4Rh after structural relaxation.

Cell: 6.061 6.061 3.860 Å, 90.00 90.00 143.04°
Element x y z (fractional)
V: 0.000 0.000 0.000
Ir: 0.167 0.833 0.500
Ir: 0.339 0.661 0.000
Ir: 0.661 0.339 0.000
Ir: 0.833 0.167 0.500
Rh: 0.500 0.500 0.500

Values from the calculation:
* DFT total energy: -8.9497 eV per atom
* symmetry: Cmmm (65)
* density of states at the Fermi level: 4.132 states/eV per cell

=====

Record 8
The following is a DFT calculation (PBE) of V3IrRh after structural relaxation.

Cell: 4.530 4.530 4.530 Å, 90.00 90.00 90.00°
Element x y z (fractional)
V: 0.000 0.000 0.500
V: 0.000 0.500 0.000
V: 0.500 0.000 0.000
Ir: 0.000 0.000 0.000
Rh: 0.500 0.500 0.500

Values from the calculation:
* symmetry: Pm-3m (221)
* density of states at the Fermi level: 7.747 states/eV per cell
* energy above the most stable polymorph in this dataset: 1195 meV per atom

=====

Record 9
The following is a DFT calculation (PBE) of VIr3Rh after structural relaxation.

Cell: 4.475 4.475 4.475 Å, 90.00 90.00 90.00°
Element x y z (fractional)
V: 0.000 0.000 0.000
Ir: 0.000 0.000 0.500
Ir: 0.000 0.500 0.000
Ir: 0.500 0.000 0.000
Rh: 0.500 0.500 0.500

Values from the calculation:
* symmetry: Pm-3m (221)
* density of states at the Fermi level: 9.993 states/eV per cell
* energy above the most stable polymorph in this dataset: 1297 meV per atom

=====

Record 10
The following is a DFT calculation (PBE) of VIr8Rh2 after structural relaxation.

Cell: 7.214 7.214 6.097 Å, 104.64 104.64 30.98°
Element x y z (fractional)
V: 0.000 0.000 0.000
Ir: 0.090 0.090 0.448
Ir: 0.180 0.180 0.911
Ir: 0.367 0.367 0.822
Ir: 0.456 0.456 0.267
Ir: 0.544 0.544 0.733
Ir: 0.633 0.633 0.178
Ir: 0.820 0.820 0.089
Ir: 0.910 0.910 0.552
Rh: 0.275 0.275 0.364
Rh: 0.725 0.725 0.636

Values from the calculation:
* DFT total energy: -8.7815 eV per atom
* symmetry: C2/m (12)
* density of states at the Fermi level: 11.244 states/eV per cell

=====

Record 11
The following is a DFT calculation (PBE) of VIr3Rh after structural relaxation.

Cell: 7.543 5.040 5.040 Å, 126.87 90.00 90.00°
Element x y z (fractional)
V: 0.000 0.000 0.000
V: 0.500 0.000 0.000
Ir: 0.069 0.634 0.258
Ir: 0.250 0.574 0.678
Ir: 0.431 0.634 0.258
Ir: 0.569 0.258 0.634
Ir: 0.750 0.678 0.574
Ir: 0.931 0.258 0.634
Rh: 0.250 0.130 0.762
Rh: 0.750 0.762 0.130

Values from the calculation:
* symmetry: Ama2 (40)
* density of states at the Fermi level: 10.848 states/eV per cell
* energy above the most stable polymorph in this dataset: 0 meV per atom

=====

Record 12
The following is a DFT calculation (PBE) of V2Ir3Rh after structural relaxation.

Cell: 6.470 6.470 6.470 Å, 60.82 60.82 60.82°
Element x y z (fractional)
V: 0.158 0.158 0.158
V: 0.342 0.342 0.342
V: 0.658 0.658 0.658
V: 0.842 0.842 0.842
Ir: 0.052 0.750 0.448
Ir: 0.250 0.552 0.948
Ir: 0.448 0.052 0.750
Ir: 0.552 0.948 0.250
Ir: 0.750 0.448 0.052
Ir: 0.948 0.250 0.552
Rh: 0.000 0.000 0.000
Rh: 0.500 0.500 0.500

Values from the calculation:
* symmetry: R-3c (167)
* density of states at the Fermi level: 10.880 states/eV per cell
* energy above the most stable polymorph in this dataset: 697 meV per atom